# 1
VASP calculation (PBE) on an optimized crystal structure of Dy12ThAl3.

a b c (Å): 4.8072 4.8072 19.4525
angles (deg): 90.00 90.00 90.00
With the nearest neighbours (Å) after each atom.
Element x y z (fractional)
Dy  0.0000  0.0000  0.0000  8 Dy 3.38, 4 Al 3.40
Dy  0.0000  0.0000  0.2428  8 Dy 3.36-3.41, 4 Al 3.40
Dy  0.0000  0.0000  0.5000  4 Th 3.40, 8 Dy 3.53
Dy  0.0000  0.0000  0.7572  8 Dy 3.36-3.41, 4 Al 3.40
Dy  0.0000  0.5000  0.1220  4 Al 3.35-3.38, 8 Dy 3.36-3.40
Dy  0.0000  0.5000  0.3668  8 Dy 3.40-3.53, 2 Al 3.41, 2 Th 3.53
Dy  0.0000  0.5000  0.6332  8 Dy 3.40-3.53, 2 Al 3.41, 2 Th 3.53
Dy  0.0000  0.5000  0.8780  4 Al 3.35-3.38, 8 Dy 3.36-3.40
Dy  0.5000  0.0000  0.1220  4 Al 3.35-3.38, 8 Dy 3.36-3.40
Dy  0.5000  0.0000  0.3668  8 Dy 3.40-3.53, 2 Al 3.41, 2 Th 3.53
Dy  0.5000  0.0000  0.6332  8 Dy 3.40-3.53, 2 Al 3.41, 2 Th 3.53
Dy  0.5000  0.0000  0.8780  4 Al 3.35-3.38, 8 Dy 3.36-3.40
Th  0.5000  0.5000  0.5000  12 Dy 3.40-3.53
Al  0.5000  0.5000  0.0000  12 Dy 3.38-3.40
Al  0.5000  0.5000  0.2423  12 Dy 3.35-3.41
Al  0.5000  0.5000  0.7577  12 Dy 3.35-3.41

## Properties
**Final energy**: -4.731 eV/atom
**Space group**: P4/mmm, No. 123
**Energy relative to the elements**: -0.114 eV per atom
**ρ**: 8359 kg/m3

# 2
VASP calculation (PBE) on an optimized crystal structure of CaAc14Tm.

a b c (Å): 11.1855 7.9180 7.9180
angles (deg): 89.98 90.00 90.00
With the nearest neighbours (Å) after each atom.
Element x y z (fractional)
Ca  0.0000  0.0000  0.0000  12 Ac 3.95-3.97
Ac  0.0000  0.0009  0.4990  8 Ac 3.93-3.94, 2 Tm 3.95-3.97, 2 Ca 3.95-3.97
Ac  0.0000  0.4990  0.0009  8 Ac 3.93-3.94, 2 Tm 3.95-3.97, 2 Ca 3.95-3.97
Ac  0.2463  0.7463  0.7463  1 Tm 3.90, 10 Ac 3.90-4.02, 1 Ca 3.96
Ac  0.2472  0.2535  0.7463  10 Ac 3.90-4.02, 1 Tm 3.91, 1 Ca 3.96
Ac  0.2472  0.7463  0.2535  10 Ac 3.90-4.02, 1 Tm 3.91, 1 Ca 3.96
Ac  0.2480  0.2536  0.2536  10 Ac 3.90-4.02, 1 Tm 3.91, 1 Ca 3.97
Ac  0.5000  0.9999  0.9999  12 Ac 3.95-4.01
Ac  0.5000  0.5001  0.5001  12 Ac 3.94-3.97
Ac  0.5000  0.5007  0.9992  12 Ac 3.95-3.98
Ac  0.5000  0.9992  0.5007  12 Ac 3.95-3.98
Ac  0.7520  0.2536  0.2536  10 Ac 3.90-4.02, 1 Tm 3.91, 1 Ca 3.97
Ac  0.7528  0.2535  0.7463  10 Ac 3.90-4.02, 1 Tm 3.91, 1 Ca 3.96
Ac  0.7528  0.7463  0.2535  10 Ac 3.90-4.02, 1 Tm 3.91, 1 Ca 3.96
Ac  0.7537  0.7463  0.7463  1 Tm 3.90, 10 Ac 3.90-4.02, 1 Ca 3.96
Tm  0.0000  0.4997  0.4997  12 Ac 3.90-3.97

## Properties
**Final energy**: -3.976 eV/atom
**Space group**: Amm2, No. 38
**Energy relative to the elements**: 0.024 eV per atom
**ρ**: 8020 kg/m3

# 3
VASP calculation (PBE) on an optimized crystal structure of Pu2Cu3Os.

a b c (Å): 5.3879 5.3879 5.3879
angles (deg): 56.32 56.32 56.32
With the nearest neighbours (Å) after each atom.
Element x y z (fractional)
Pu  0.1322  0.1322  0.1322  3 Os 2.97, 3 Pu 3.08, 9 Cu 3.10-3.11
Pu  0.8678  0.8678  0.8678  3 Os 2.97, 3 Pu 3.08, 9 Cu 3.10-3.11
Cu  0.0000  0.5000  0.5000  4 Cu 2.54, 2 Os 2.69
Cu  0.5000  0.0000  0.5000  4 Cu 2.54, 2 Os 2.69
Cu  0.5000  0.5000  0.0000  4 Cu 2.54, 2 Os 2.69
Os  0.5000  0.5000  0.5000  6 Cu 2.69, 6 Pu 2.97

## Properties
**Final energy**: -8.768 eV/atom
**Space group**: R-3m, No. 166
**Energy relative to the elements**: -0.071 eV per atom
**ρ**: 14266 kg/m3

# 4
VASP calculation (PBE) on an optimized crystal structure of Ca4Zn3Pt2.

a b c (Å): 8.1418 8.1418 7.0408
angles (deg): 108.30 108.30 29.43
With the nearest neighbours (Å) after each atom.
Element x y z (fractional)
Ca  0.0739  0.0739  0.3601  2 Pt 2.90-3.05, 4 Zn 3.18-3.20
Ca  0.2699  0.2699  0.8124  3 Pt 3.00-3.11, 3 Zn 3.26-3.29
Ca  0.7301  0.7301  0.1876  3 Pt 3.00-3.11, 3 Zn 3.26-3.29
Ca  0.9261  0.9261  0.6399  2 Pt 2.90-3.05, 4 Zn 3.18-3.20
Zn  0.4015  0.4015  0.2786  2 Pt 2.61, 1 Zn 2.87
Zn  0.5000  0.5000  0.0000  4 Pt 2.70, 2 Zn 2.87
Zn  0.5985  0.5985  0.7214  2 Pt 2.61, 1 Zn 2.87
Pt  0.1008  0.1008  0.9498  4 Zn 2.61-2.70, 1 Ca 2.90
Pt  0.8992  0.8992  0.0502  4 Zn 2.61-2.70, 1 Ca 2.90

## Properties
**Final energy**: -3.236 eV/atom
**Space group**: C2/m, No. 12
**Energy relative to the elements**: -0.579 eV per atom
**ρ**: 5717 kg/m3

# 5
VASP calculation (PBE) on an optimized crystal structure of ErMg2ScAu4.

a b c (Å): 8.3603 8.3603 8.3603
angles (deg): 33.34 33.34 33.34
With the nearest neighbours (Å) after each atom.
Element x y z (fractional)
Er  0.0000  0.0000  0.0000  8 Au 2.98-3.02
Mg  0.2485  0.2485  0.2485  8 Au 2.86-3.10
Mg  0.7515  0.7515  0.7515  8 Au 2.86-3.10
Sc  0.5000  0.5000  0.5000  8 Au 2.85-2.92
Au  0.1278  0.1278  0.1278  4 Mg 2.86-2.95, 3 Sc 2.92, 1 Er 3.02
Au  0.3794  0.3794  0.3794  1 Sc 2.85, 4 Mg 2.92-3.10, 3 Er 2.98
Au  0.6206  0.6206  0.6206  1 Sc 2.85, 4 Mg 2.92-3.10, 3 Er 2.98
Au  0.8722  0.8722  0.8722  4 Mg 2.86-2.95, 3 Sc 2.92, 1 Er 3.02

## Properties
**Final energy**: -4.169 eV/atom
**Space group**: R-3m, No. 166
**Energy relative to the elements**: -0.770 eV per atom
**ρ**: 11080 kg/m3

# 6
VASP calculation (PBE) on an optimized crystal structure of NaIr3Pt.

a b c (Å): 4.8777 4.8777 4.8777
angles (deg): 90.00 90.00 90.00
With the nearest neighbours (Å) after each atom.
Element x y z (fractional)
Na  0.0000  0.0000  0.0000  12 Ir 3.45
Ir  0.0000  0.5000  0.5000  2 Pt 2.44
Ir  0.5000  0.0000  0.5000  2 Pt 2.44
Ir  0.5000  0.5000  0.0000  2 Pt 2.44
Pt  0.5000  0.5000  0.5000  6 Ir 2.44

## Properties
**Final energy**: -5.133 eV/atom
**Space group**: Pm-3m, No. 221
**Energy relative to the elements**: 1.656 eV per atom
**ρ**: 11372 kg/m3

# 7
VASP calculation (PBE) on an optimized crystal structure of KAc2O.

a b c (Å): 11.3500 11.3500 11.3500
angles (deg): 20.00 20.00 20.00
With the nearest neighbours (Å) after each atom.
Element x y z (fractional)
K  0.0000  0.0000  0.0000  6 K 3.94, 2 Ac 4.10
Ac  0.1228  0.1228  0.1228  3 O 2.71
Ac  0.8772  0.8772  0.8772  3 O 2.71
O  0.5000  0.5000  0.5000  6 Ac 2.71

## Properties
**Final energy**: -4.577 eV/atom
**Space group**: R-3m, No. 166
**Uncorrected formation energy**: -1.0088 eV per atom
**ρ**: 5647 kg/m3

# 8
VASP calculation (PBE) on an optimized crystal structure of LaMgIn2.

a b c (Å): 6.2007 6.2007 6.2007
angles (deg): 46.03 46.03 46.03
With the nearest neighbours (Å) after each atom.
Element x y z (fractional)
La  0.0000  0.0000  0.0000  8 In 3.34-3.71
Mg  0.5000  0.5000  0.5000  6 In 2.96
In  0.2237  0.2237  0.2237  3 Mg 2.96
In  0.7763  0.7763  0.7763  3 Mg 2.96

## Properties
**Final energy**: -3.359 eV/atom
**Space group**: R-3m, No. 166
**Energy relative to the elements**: -0.359 eV per atom
**ρ**: 5793 kg/m3

# 9
VASP calculation (PBE) on an optimized crystal structure of Cd2NiTe.

a b c (Å): 3.1676 3.1676 8.5754
angles (deg): 90.00 90.00 90.00
With the nearest neighbours (Å) after each atom.
Element x y z (fractional)
Cd  0.0000  0.0000  0.0000  8 Cd 3.17-3.24
Cd  0.5000  0.5000  0.2733  4 Ni 2.87, 4 Cd 3.17
Ni  0.0000  0.0000  0.4831  4 Te 2.67, 4 Cd 2.87
Te  0.5000  0.5000  0.6528  4 Ni 2.67

## Properties
**Final energy**: -2.597 eV/atom
**Space group**: P4mm, No. 99
**Uncorrected formation energy**: 0.0914 eV per atom
**ρ**: 7934 kg/m3

# 10
VASP calculation (PBE) on an optimized crystal structure of HoZn4Au8.

a b c (Å): 7.0912 7.0912 7.0912
angles (deg): 98.45 98.45 134.91
With the nearest neighbours (Å) after each atom.
Element x y z (fractional)
Ho  0.0000  0.0000  0.0000  12 Au 3.05-3.38
Zn  0.0000  0.0000  0.5000  8 Au 2.70-2.78, 2 Zn 2.72
Zn  0.0000  0.5000  0.0000  8 Au 2.70-2.78, 2 Zn 2.72
Zn  0.5000  0.0000  0.0000  8 Au 2.70-2.78, 2 Zn 2.72
Zn  0.5000  0.5000  0.5000  8 Au 2.70-2.78, 2 Zn 2.72
Au  0.0000  0.3296  0.3296  4 Zn 2.78, 4 Au 2.91-3.06, 1 Ho 3.05
Au  0.0000  0.6704  0.6704  4 Zn 2.78, 4 Au 2.91-3.06, 1 Ho 3.05
Au  0.2828  0.5000  0.7828  4 Zn 2.70, 4 Au 2.85-2.91
Au  0.3296  0.0000  0.3296  4 Zn 2.78, 4 Au 2.91-3.06, 1 Ho 3.05
Au  0.5000  0.2828  0.7828  4 Zn 2.70, 4 Au 2.85-2.91
Au  0.5000  0.7172  0.2172  4 Zn 2.70, 4 Au 2.85-2.91
Au  0.6704  0.0000  0.6704  4 Zn 2.78, 4 Au 2.91-3.06, 1 Ho 3.05
Au  0.7172  0.5000  0.2172  4 Zn 2.70, 4 Au 2.85-2.91

## Properties
**Final energy**: -3.104 eV/atom
**Space group**: I4/mmm, No. 139
**Energy relative to the elements**: -0.343 eV per atom
**ρ**: 14256 kg/m3

# 11
VASP calculation (PBE) on an optimized crystal structure of Ti2NiBAs.

a b c (Å): 4.2434 4.2434 3.9938
angles (deg): 90.00 90.00 90.00
With the nearest neighbours (Å) after each atom.
Element x y z (fractional)
Ti  0.0000  0.5000  0.0000  2 B 2.12
Ti  0.5000  0.0000  0.0000  2 B 2.12
Ni  0.0000  0.0000  0.5000  8 Ti 2.91, 4 As 3.00
B  0.5000  0.5000  0.0000  2 As 2.00, 4 Ti 2.12
As  0.5000  0.5000  0.5000  2 B 2.00

## Properties
**Final energy**: -6.443 eV/atom
**Space group**: P4/mmm, No. 123
**Energy relative to the elements**: 0.137 eV per atom
**ρ**: 5545 kg/m3

# 12
VASP calculation (PBE) on an optimized crystal structure of BaZrHg2.

a b c (Å): 4.8581 4.8581 6.9138
angles (deg): 110.63 110.63 60.11
With the nearest neighbours (Å) after each atom.
Element x y z (fractional)
Ba  0.0000  0.0000  0.0000  8 Hg 3.66-3.97
Zr  0.5000  0.5000  0.5000  6 Hg 2.92
Hg  0.2094  0.2094  0.6286  3 Zr 2.92, 3 Hg 3.23-3.25
Hg  0.7906  0.7906  0.3714  3 Zr 2.92, 3 Hg 3.23-3.25

## Properties
**Final energy**: -2.881 eV/atom
**Space group**: C2/m, No. 12
**Energy relative to the elements**: -0.112 eV per atom
**ρ**: 8092 kg/m3

# 13
VASP calculation (PBE) on an optimized crystal structure of BaNaReMo2.

a b c (Å): 4.8204 4.8204 5.6944
angles (deg): 90.00 90.00 90.00
With the nearest neighbours (Å) after each atom.
Element x y z (fractional)
Ba  0.0000  0.0000  0.0000  4 Na 3.41, 8 Mo 3.73
Na  0.5000  0.5000  0.0000  2 Re 2.85
Re  0.5000  0.5000  0.5000  4 Mo 2.41
Mo  0.0000  0.5000  0.5000  2 Re 2.41
Mo  0.5000  0.0000  0.5000  2 Re 2.41

## Properties
**Final energy**: -6.307 eV/atom
**Space group**: P4/mmm, No. 123
**Energy relative to the elements**: 1.163 eV per atom
**ρ**: 6757 kg/m3

# 14
VASP calculation (PBE) on an optimized crystal structure of TiSiPt3.

a b c (Å): 4.5055 4.5055 4.5055
angles (deg): 90.00 90.00 90.00
With the nearest neighbours (Å) after each atom.
Element x y z (fractional)
Ti  0.0000  0.0000  0.0000  12 Pt 3.19
Si  0.5000  0.5000  0.5000  6 Pt 2.25
Pt  0.0000  0.5000  0.5000  2 Si 2.25
Pt  0.5000  0.0000  0.5000  2 Si 2.25
Pt  0.5000  0.5000  0.0000  2 Si 2.25

## Properties
**Final energy**: -6.255 eV/atom
**Space group**: Pm-3m, No. 221
**Uncorrected formation energy**: 0.0328 eV per atom
**ρ**: 12005 kg/m3

# 15
VASP calculation (PBE) on an optimized crystal structure of La3GeAu.

a b c (Å): 5.7154 5.7154 5.7154
angles (deg): 90.00 90.00 90.00
With the nearest neighbours (Å) after each atom.
Element x y z (fractional)
La  0.0000  0.0000  0.5000  2 Ge 2.86
La  0.0000  0.5000  0.0000  2 Ge 2.86
La  0.5000  0.0000  0.0000  2 Ge 2.86
Ge  0.0000  0.0000  0.0000  6 La 2.86
Au  0.5000  0.5000  0.5000  12 La 4.04

## Properties
**Final energy**: -4.639 eV/atom
**Space group**: Pm-3m, No. 221
**Energy relative to the elements**: -0.104 eV per atom
**ρ**: 6104 kg/m3

# 16
VASP calculation (PBE) on an optimized crystal structure of AsPdW2.

a b c (Å): 6.7386 6.7386 6.7386
angles (deg): 128.59 128.59 75.67
With the nearest neighbours (Å) after each atom.
Element x y z (fractional)
As  0.0000  0.0000  0.0000  4 W 2.47
As  0.7500  0.2500  0.5000  4 W 2.47
Pd  0.2500  0.7500  0.5000  4 W 2.44
Pd  0.5000  0.5000  0.0000  4 W 2.44
W  0.1298  0.6250  0.0048  2 Pd 2.44, 2 As 2.47
W  0.3750  0.3798  0.5048  2 Pd 2.44, 2 As 2.47
W  0.6202  0.1250  0.9952  2 Pd 2.44, 2 As 2.47
W  0.8750  0.8702  0.4952  2 Pd 2.44, 2 As 2.47

## Properties
**Final energy**: -7.567 eV/atom
**Space group**: I-42d, No. 122
**Energy relative to the elements**: 1.370 eV per atom
**ρ**: 10026 kg/m3

# 17
VASP calculation (PBE) on an optimized crystal structure of GePbCl2.

a b c (Å): 11.3628 11.3628 11.3628
angles (deg): 18.58 18.58 18.58
With the nearest neighbours (Å) after each atom.
Element x y z (fractional)
Ge  0.0000  0.0000  0.0000  6 Cl 2.67
Pb  0.5000  0.5000  0.5000  6 Pb 3.67, 2 Cl 3.96
Cl  0.3818  0.3818  0.3818  3 Ge 2.67
Cl  0.6182  0.6182  0.6182  3 Ge 2.67

## Properties
**Final energy**: -3.360 eV/atom
**Space group**: R-3m, No. 166
**Uncorrected formation energy**: -0.3550 eV per atom
**ρ**: 4478 kg/m3

# 18
VASP calculation (PBE) on an optimized crystal structure of LaNd2Th6.

a b c (Å): 3.5623 3.5623 27.4481
angles (deg): 90.00 90.00 120.00
With the nearest neighbours (Å) after each atom.
Element x y z (fractional)
La  0.0000  0.0000  0.0000  6 La 3.56, 6 Th 3.71
Nd  0.6667  0.3333  0.3300  6 Nd 3.56, 6 Th 3.65-3.68
Nd  0.6667  0.3333  0.6700  6 Nd 3.56, 6 Th 3.65-3.68
Th  0.0000  0.0000  0.2188  9 Th 3.56-3.57, 3 Nd 3.68
Th  0.0000  0.0000  0.4399  7 Th 3.30-3.56, 3 Nd 3.65
Th  0.0000  0.0000  0.5601  7 Th 3.30-3.56, 3 Nd 3.65
Th  0.0000  0.0000  0.7812  9 Th 3.56-3.57, 3 Nd 3.68
Th  0.6667  0.3333  0.1127  9 Th 3.56-3.57, 3 La 3.71
Th  0.6667  0.3333  0.8873  9 Th 3.56-3.57, 3 La 3.71

## Properties
**Final energy**: -6.451 eV/atom
**Space group**: P-6m2, No. 187
**Energy relative to the elements**: 0.103 eV per atom
**ρ**: 10017 kg/m3

# 19
VASP calculation (PBE) on an optimized crystal structure of Hf2CdSb.

a b c (Å): 4.9755 4.9755 4.9755
angles (deg): 60.00 60.00 60.00
With the nearest neighbours (Å) after each atom.
Element x y z (fractional)
Hf  0.2500  0.2500  0.2500  4 Cd 3.05, 4 Sb 3.05
Hf  0.7500  0.7500  0.7500  4 Cd 3.05, 4 Sb 3.05
Cd  0.0000  0.0000  0.0000  8 Hf 3.05
Sb  0.5000  0.5000  0.5000  8 Hf 3.05

## Properties
**Final energy**: -6.262 eV/atom
**Space group**: Fm-3m, No. 225
**Uncorrected formation energy**: -0.0259 eV per atom
**ρ**: 11271 kg/m3

# 20
VASP calculation (PBE) on an optimized crystal structure of PuTaTcIr.

a b c (Å): 4.6518 4.6518 4.6518
angles (deg): 60.00 60.00 60.00
With the nearest neighbours (Å) after each atom.
Element x y z (fractional)
Pu  0.0000  0.0000  0.0000  4 Ir 2.85, 4 Tc 2.85
Ta  0.5000  0.5000  0.5000  4 Ir 2.85, 4 Tc 2.85
Tc  0.2500  0.2500  0.2500  4 Ta 2.85, 4 Pu 2.85
Ir  0.7500  0.7500  0.7500  4 Ta 2.85, 4 Pu 2.85

## Properties
**Final energy**: -11.547 eV/atom
**Space group**: F-43m, No. 216
**Energy relative to the elements**: -0.194 eV per atom
**ρ**: 16684 kg/m3